Here is an optimized crystal structure of ZrCoSb2 from Alexandria. Energies are from PBEsol.

abc: 3.1226 3.1226 8.4387
angles: 90.00 90.00 90.00
Closest atoms and distances in Å follow each position.
Sites, in units of the cell vectors:
Zr 0.0000 0.0000 0.0000  4 Co 2.72
Co 0.5000 0.5000 0.1883  4 Sb 2.67, 4 Zr 2.72
Sb 0.0000 0.0000 0.3668  4 Co 2.67
Sb 0.5000 0.5000 0.7354  4 Sb 3.12, 4 Zr 3.14

The total DFT energy (no corrections) comes out at -26.91 eV/f.u. The total moment comes out at 0.29 Bohr magnetons per cell. As for the space group: P4mm (99).